Entry P
A relaxed TiVCo2 crystal. Source: the Alexandria database, functional PBE.

Lattice parameters (Å, degrees): 4.156 4.156 4.156 60.00 60.00 60.00
Element x y z (fractional)
Ti 0.500 0.500 0.500
Co 0.250 0.250 0.250
Co 0.750 0.750 0.750
V 0.000 0.000 0.000

SG: Fm-3m (225)
Volume, A^3/atom: 12.7

---

Entry Q
A relaxed TiVCo2 crystal. Source: the Alexandria database, functional PBE.

Lattice parameters (Å, degrees): 6.431 6.431 5.215 51.94 51.94 90.00
Element x y z (fractional)
V 0.000 0.000 0.000
V 0.750 0.250 0.500
Co 0.105 0.625 0.250
Co 0.375 0.355 0.750
Co 0.875 0.895 0.750
Co 0.645 0.125 0.250
Ti 0.250 0.750 0.500
Ti 0.500 0.500 0.000

SG: I-42d (122)
Volume, A^3/atom: 13.2

---

Stability check: which of them is least stable? entry Q.

---

Entry P
A relaxed TiV2Co crystal. Source: the Alexandria database, functional PBE.

Lattice parameters (Å, degrees): 3.008 4.031 5.060 113.53 107.29 90.00
Element x y z (fractional)
Co 0.500 0.000 0.000
V 0.244 0.244 0.487
V 0.756 0.756 0.513
Ti 0.000 0.500 0.000

SG: Immm (71)
Volume, A^3/atom: 13.3

---

Entry Q
A relaxed TiV2Co crystal. Source: the Alexandria database, functional PBE.

Lattice parameters (Å, degrees): 2.920 2.920 6.294 90.00 90.00 90.00
Element x y z (fractional)
V 0.000 0.000 0.230
V 0.000 0.000 0.770
Co 0.500 0.500 0.000
Ti 0.500 0.500 0.500

SG: P4/mmm (123)
Volume, A^3/atom: 13.4

---

Entry R
A relaxed TiV2Co crystal. Source: the Alexandria database, functional PBE.

Lattice parameters (Å, degrees): 6.768 6.768 5.387 51.09 51.09 90.00
Element x y z (fractional)
V 0.090 0.625 0.250
V 0.660 0.125 0.250
V 0.875 0.910 0.750
V 0.375 0.340 0.750
Co 0.750 0.250 0.500
Co 0.000 0.000 0.000
Ti 0.500 0.500 0.000
Ti 0.250 0.750 0.500

SG: I-42d (122)
Volume, A^3/atom: 14.2

---

Entry S
A relaxed TiV2Co crystal. Source: the Alexandria database, functional PBE.

Lattice parameters (Å, degrees): 4.194 4.194 4.194 60.00 60.00 60.00
Element x y z (fractional)
V 0.250 0.250 0.250
V 0.750 0.750 0.750
Co 0.000 0.000 0.000
Ti 0.500 0.500 0.500

SG: Fm-3m (225)
Volume, A^3/atom: 13.0

---

Stability check: which of them is least stable? entry R.

---

Entry P
A relaxed TiVCo3 crystal. Source: the Alexandria database, functional PBE.

Lattice parameters (Å, degrees): 5.248 5.419 5.419 120.00 90.00 90.00
Element x y z (fractional)
Co 0.750 0.193 0.387
Co 0.750 0.613 0.807
Co 0.250 0.807 0.193
Co 0.750 0.193 0.807
Co 0.250 0.387 0.193
Co 0.250 0.807 0.613
Ti 0.250 0.333 0.667
Ti 0.750 0.667 0.333
V 0.000 0.000 0.000
V 0.500 0.000 0.000

SG: P6_3/mmc (194)
Volume, A^3/atom: 13.3

---

Entry Q
A relaxed TiVCo3 crystal. Source: the Alexandria database, functional PBE.

Lattice parameters (Å, degrees): 4.169 4.169 4.169 90.00 90.00 90.00
Element x y z (fractional)
Ti 0.500 0.500 0.500
Co 0.500 0.000 0.000
Co 0.000 0.000 0.500
Co 0.000 0.500 0.000
V 0.000 0.000 0.000

SG: Pm-3m (221)
Volume, A^3/atom: 14.5

---

Stability check: which of them is least stable? entry Q.

---

Entry P
A relaxed Ti2VCo crystal. Source: the Alexandria database, functional PBE.

Lattice parameters (Å, degrees): 3.036 4.297 4.297 90.00 90.00 90.00
Element x y z (fractional)
V 0.500 0.500 0.500
Co 0.500 0.000 0.000
Ti 0.000 0.500 0.000
Ti 0.000 0.000 0.500

SG: P4/mmm (123)
Volume, A^3/atom: 14.0

---

Entry Q
A relaxed Ti2VCo crystal. Source: the Alexandria database, functional PBE.

Lattice parameters (Å, degrees): 3.000 3.000 6.254 90.00 90.00 90.00
Element x y z (fractional)
Ti 0.000 0.000 0.761
Ti 0.000 0.000 0.239
V 0.500 0.500 0.500
Co 0.500 0.500 0.000

SG: P4/mmm (123)
Volume, A^3/atom: 14.1

---

Entry R
A relaxed Ti2VCo crystal. Source: the Alexandria database, functional PBE.

Lattice parameters (Å, degrees): 4.299 4.299 4.299 60.00 60.00 60.00
Element x y z (fractional)
Ti 0.750 0.750 0.750
Ti 0.250 0.250 0.250
Co 0.500 0.500 0.500
V 0.000 0.000 0.000

SG: Fm-3m (225)
Volume, A^3/atom: 14.0

---

Entry S
A relaxed Ti2VCo crystal. Source: the Alexandria database, functional PBE.

Lattice parameters (Å, degrees): 6.731 6.731 5.434 51.73 51.73 90.00
Element x y z (fractional)
V 0.500 0.500 0.000
V 0.250 0.750 0.500
Ti 0.093 0.625 0.250
Ti 0.657 0.125 0.250
Ti 0.875 0.907 0.750
Ti 0.375 0.343 0.750
Co 0.000 0.000 0.000
Co 0.750 0.250 0.500

SG: I-42d (122)
Volume, A^3/atom: 14.8

---

Stability check: which of them is least stable? entry S.